GaPHPtS | PBE-GGA | optimized geometry

Results
VASP energy (eV for the cell shown): -70.783
Size of the total moment (μB per formula unit): 0.0
Density (g/cm³): 6.6

a b c (Å): 4.006 4.006 17.857
angles (deg): 90.00 90.00 120.00
Sites, in units of the cell vectors:
S 0.000 0.000 0.902
S 0.333 0.667 0.568
S 0.667 0.333 0.235
Ga 0.667 0.333 0.513
Ga 0.333 0.667 0.846
Ga 0.000 0.000 0.180
P 0.333 0.667 0.062
P 0.000 0.000 0.395
P 0.667 0.333 0.729
H 0.333 0.667 0.143
H 0.000 0.000 0.476
H 0.667 0.333 0.810
Pt 0.000 0.000 0.042
Pt 0.667 0.333 0.375
Pt 0.333 0.667 0.708